Entry 1:
# YMn2Fe, optimized geometry, DFT PBE-GGA
# * offset from the most stable computed form: 0.187 eV per atom
# * symmetry: Immm, No. 71
data_YMn2Fe
_cell_length_a 5.176
_cell_length_b 5.176
_cell_length_c 5.176
_cell_angle_alpha 139.93
_cell_angle_beta 129.00
_cell_angle_gamma 66.76
_space_group_name_H-M_alt 'P 1'
_space_group_IT_number 1
loop_
_space_group_symop_operation_xyz
'x,y,z'
loop_
_atom_site_label
_atom_site_type_symbol
_atom_site_fract_x
_atom_site_fract_y
_atom_site_fract_z
Fe1 Fe 0.250 0.750 0.500
Mn1 Mn 0.023 0.023 0.000
Mn2 Mn 0.477 0.477 0.000
Y1 Y 0.750 0.250 0.500


Entry 2:
# La4TmBi5, optimized geometry, DFT PBE-GGA
# * uncorrected energy: -53.5 eV for the cell shown
# * symmetry: I4/m, No. 87
data_La4TmBi5
_cell_length_a 6.595
_cell_length_b 8.060
_cell_length_c 8.060
_cell_angle_alpha 80.36
_cell_angle_beta 65.85
_cell_angle_gamma 65.85
_space_group_name_H-M_alt 'P 1'
_space_group_IT_number 1
loop_
_space_group_symop_operation_xyz
'x,y,z'
loop_
_atom_site_label
_atom_site_type_symbol
_atom_site_fract_x
_atom_site_fract_y
_atom_site_fract_z
La1 La 0.404 0.397 0.796
La2 La 0.801 0.796 0.603
La3 La 0.201 0.204 0.397
La4 La 0.598 0.603 0.204
Tm1 Tm 0.001 0.000 0.000
Bi1 Bi 0.903 0.389 0.806
Bi2 Bi 0.293 0.806 0.611
Bi3 Bi 0.709 0.194 0.389
Bi4 Bi 0.099 0.611 0.194
Bi5 Bi 0.501 0.000 0.000


Entry 3:
# Pm4NdPt4, optimized geometry, DFT PBE-GGA
# * uncorrected energy: -113.4 eV for the cell shown
# * symmetry: I4/m, No. 87
data_Pm4NdPt4
_cell_length_a 5.861
_cell_length_b 9.349
_cell_length_c 9.349
_cell_angle_alpha 90.00
_cell_angle_beta 90.00
_cell_angle_gamma 90.00
_space_group_name_H-M_alt 'P 1'
_space_group_IT_number 1
loop_
_space_group_symop_operation_xyz
'x,y,z'
loop_
_atom_site_label
_atom_site_type_symbol
_atom_site_fract_x
_atom_site_fract_y
_atom_site_fract_z
Pm1 Pm 0.500 0.313 0.898
Pm2 Pm 0.000 0.602 0.813
Pm3 Pm 0.500 0.687 0.102
Pm4 Pm 0.000 0.187 0.602
Pm5 Pm 0.500 0.898 0.687
Pm6 Pm 0.000 0.813 0.398
Pm7 Pm 0.000 0.398 0.187
Pm8 Pm 0.500 0.102 0.313
Nd1 Nd 0.000 0.000 0.000
Nd2 Nd 0.500 0.500 0.500
Pt1 Pt 0.500 0.796 0.396
Pt2 Pt 0.500 0.204 0.604
Pt3 Pt 0.000 0.896 0.704
Pt4 Pt 0.000 0.296 0.896
Pt5 Pt 0.000 0.704 0.104
Pt6 Pt 0.500 0.396 0.204
Pt7 Pt 0.500 0.604 0.796
Pt8 Pt 0.000 0.104 0.296


Entry 4:
# CuRuSe2, optimized geometry, DFT PBE-GGA
# * formation energy without anion corrections: -0.08 eV/atom
# * symmetry: C2/m, No. 12
data_CuRuSe2
_cell_length_a 3.858
_cell_length_b 3.858
_cell_length_c 8.676
_cell_angle_alpha 47.30
_cell_angle_beta 47.30
_cell_angle_gamma 60.97
_space_group_name_H-M_alt 'P 1'
_space_group_IT_number 1
loop_
_space_group_symop_operation_xyz
'x,y,z'
loop_
_atom_site_label
_atom_site_type_symbol
_atom_site_fract_x
_atom_site_fract_y
_atom_site_fract_z
Cu1 Cu 0.750 0.750 0.750
Ru1 Ru 0.250 0.250 0.250
Se1 Se 0.146 0.146 0.023
Se2 Se 0.354 0.354 0.477


Entry 5:
# ScAl2Cd, optimized geometry, DFT PBE-GGA
# * uncorrected energy: -15.5 eV for the cell shown
# * symmetry: Pmmm, No. 47
data_ScAl2Cd
_cell_length_a 4.508
_cell_length_b 3.098
_cell_length_c 5.727
_cell_angle_alpha 90.01
_cell_angle_beta 90.00
_cell_angle_gamma 90.00
_space_group_name_H-M_alt 'P 1'
_space_group_IT_number 1
loop_
_space_group_symop_operation_xyz
'x,y,z'
loop_
_atom_site_label
_atom_site_type_symbol
_atom_site_fract_x
_atom_site_fract_y
_atom_site_fract_z
Sc1 Sc 0.500 0.750 0.750
Al1 Al 0.000 0.250 0.982
Al2 Al 0.000 0.250 0.518
Cd1 Cd 0.500 0.250 0.250


Entry 6:
# TbPaBiAu, optimized geometry, DFT PBE-GGA
# * uncorrected energy: -22.5 eV for the cell shown
# * symmetry: F-43m, No. 216
data_TbPaBiAu
_cell_length_a 5.315
_cell_length_b 5.315
_cell_length_c 5.315
_cell_angle_alpha 60.00
_cell_angle_beta 60.00
_cell_angle_gamma 60.00
_space_group_name_H-M_alt 'P 1'
_space_group_IT_number 1
loop_
_space_group_symop_operation_xyz
'x,y,z'
loop_
_atom_site_label
_atom_site_type_symbol
_atom_site_fract_x
_atom_site_fract_y
_atom_site_fract_z
Tb1 Tb 0.750 0.750 0.750
Pa1 Pa 0.250 0.250 0.250
Au1 Au 0.500 0.500 0.500
Bi1 Bi 0.000 0.000 0.000


Entry 7:
# NaCd2In2, optimized geometry, DFT PBE-GGA
# * offset from the most stable computed form: 0.007 eV per atom
# * symmetry: I4/mmm, No. 139
data_NaCd2In2
_cell_length_a 4.463
_cell_length_b 4.463
_cell_length_c 7.594
_cell_angle_alpha 72.91
_cell_angle_beta 72.91
_cell_angle_gamma 90.00
_space_group_name_H-M_alt 'P 1'
_space_group_IT_number 1
loop_
_space_group_symop_operation_xyz
'x,y,z'
loop_
_atom_site_label
_atom_site_type_symbol
_atom_site_fract_x
_atom_site_fract_y
_atom_site_fract_z
Na1 Na 0.000 0.000 0.000
Cd1 Cd 0.400 0.400 0.200
Cd2 Cd 0.600 0.600 0.800
In1 In 0.750 0.250 0.500
In2 In 0.250 0.750 0.500


Entry 8:
# Cd2CoSb, optimized geometry, DFT PBE-GGA
# * formation energy without anion corrections: 0.39 eV/atom
# * symmetry: I-42d, No. 122
data_Cd2CoSb
_cell_length_a 4.033
_cell_length_b 4.033
_cell_length_c 10.746
_cell_angle_alpha 79.18
_cell_angle_beta 79.18
_cell_angle_gamma 90.00
_space_group_name_H-M_alt 'P 1'
_space_group_IT_number 1
loop_
_space_group_symop_operation_xyz
'x,y,z'
loop_
_atom_site_label
_atom_site_type_symbol
_atom_site_fract_x
_atom_site_fract_y
_atom_site_fract_z
Sb1 Sb 0.000 0.000 0.000
Sb2 Sb 0.750 0.250 0.500
Co1 Co 0.500 0.500 0.000
Co2 Co 0.250 0.750 0.500
Cd1 Cd 0.609 0.125 0.250
Cd2 Cd 0.141 0.625 0.250
Cd3 Cd 0.375 0.391 0.750
Cd4 Cd 0.875 0.859 0.750


Entry 9:
# Co2Ni4Pd5, optimized geometry, DFT PBE-GGA
# * uncorrected energy: -62.5 eV for the cell shown
# * symmetry: P-1, No. 2
data_Co2Ni4Pd5
_cell_length_a 2.647
_cell_length_b 10.164
_cell_length_c 7.216
_cell_angle_alpha 122.84
_cell_angle_beta 68.42
_cell_angle_gamma 89.97
_space_group_name_H-M_alt 'P 1'
_space_group_IT_number 1
loop_
_space_group_symop_operation_xyz
'x,y,z'
loop_
_atom_site_label
_atom_site_type_symbol
_atom_site_fract_x
_atom_site_fract_y
_atom_site_fract_z
Co1 Co 0.447 0.630 0.054
Co2 Co 0.553 0.370 0.946
Ni1 Ni 0.692 0.574 0.308
Ni2 Ni 0.831 0.865 0.169
Ni3 Ni 0.308 0.426 0.692
Ni4 Ni 0.169 0.135 0.831
Pd1 Pd 0.991 0.859 0.509
Pd2 Pd 0.009 0.141 0.491
Pd3 Pd 0.214 0.330 0.287
Pd4 Pd 0.500 0.000 0.000
Pd5 Pd 0.786 0.670 0.713


Entry 10:
# Ca8AlHg2, optimized geometry, DFT PBE-GGA
# * uncorrected energy: -22.6 eV for the cell shown
# * symmetry: Immm, No. 71
data_Ca8AlHg2
_cell_length_a 5.229
_cell_length_b 8.825
_cell_length_c 9.250
_cell_angle_alpha 118.49
_cell_angle_beta 106.42
_cell_angle_gamma 90.00
_space_group_name_H-M_alt 'P 1'
_space_group_IT_number 1
loop_
_space_group_symop_operation_xyz
'x,y,z'
loop_
_atom_site_label
_atom_site_type_symbol
_atom_site_fract_x
_atom_site_fract_y
_atom_site_fract_z
Ca1 Ca 0.662 0.883 0.323
Ca2 Ca 0.338 0.559 0.677
Ca3 Ca 0.137 0.137 0.273
Ca4 Ca 0.000 0.311 0.000
Ca5 Ca 0.863 0.863 0.727
Ca6 Ca 0.662 0.441 0.323
Ca7 Ca 0.338 0.117 0.677
Ca8 Ca 0.000 0.689 0.000
Al1 Al 0.500 0.000 0.000
Hg1 Hg 0.189 0.689 0.378
Hg2 Hg 0.811 0.311 0.622


Entry 11:
# Cs2RbCrC, optimized geometry, DFT PBE-GGA
# * uncorrected energy: -17.0 eV for the cell shown
# * symmetry: P4/mmm, No. 123
data_Cs2RbCrC
_cell_length_a 7.086
_cell_length_b 3.880
_cell_length_c 7.086
_cell_angle_alpha 90.00
_cell_angle_beta 90.00
_cell_angle_gamma 90.00
_space_group_name_H-M_alt 'P 1'
_space_group_IT_number 1
loop_
_space_group_symop_operation_xyz
'x,y,z'
loop_
_atom_site_label
_atom_site_type_symbol
_atom_site_fract_x
_atom_site_fract_y
_atom_site_fract_z
Cs1 Cs 0.000 0.000 0.500
Cs2 Cs 0.500 0.000 0.000
Cr1 Cr 0.000 0.500 0.000
C1 C 0.000 0.000 0.000
Rb1 Rb 0.500 0.500 0.500


Entry 12:
# RbNaSr4, optimized geometry, DFT PBE-GGA
# * uncorrected energy: -7.9 eV for the cell shown
# * symmetry: F-43m, No. 216
data_RbNaSr4
_cell_length_a 8.128
_cell_length_b 8.128
_cell_length_c 8.128
_cell_angle_alpha 60.00
_cell_angle_beta 60.00
_cell_angle_gamma 60.00
_space_group_name_H-M_alt 'P 1'
_space_group_IT_number 1
loop_
_space_group_symop_operation_xyz
'x,y,z'
loop_
_atom_site_label
_atom_site_type_symbol
_atom_site_fract_x
_atom_site_fract_y
_atom_site_fract_z
Sr1 Sr 0.625 0.625 0.124
Sr2 Sr 0.625 0.124 0.625
Sr3 Sr 0.625 0.625 0.625
Sr4 Sr 0.124 0.625 0.625
Rb1 Rb 0.250 0.250 0.250
Na1 Na 0.000 0.000 0.000